A plane-wave DFT calculation with PBE was carried out for Li2InNi5B2 after structural relaxation.

abc: 2.9143 8.9006 8.9006
angles: 90.00 90.00 90.00
Atoms (fractional coordinates):
Ni 0.5000 0.7669 0.9287
Ni 0.5000 0.2331 0.0713
Ni 0.5000 0.5713 0.7331
Ni 0.5000 0.0713 0.7669
Ni 0.5000 0.2669 0.5713
Ni 0.5000 0.0000 0.5000
Ni 0.5000 0.9287 0.2331
Ni 0.5000 0.5000 0.0000
Ni 0.5000 0.7331 0.4287
Ni 0.5000 0.4287 0.2669
B 0.0000 0.8816 0.3816
B 0.0000 0.1184 0.6184
B 0.0000 0.6184 0.8816
B 0.0000 0.3816 0.1184
Li 0.0000 0.1757 0.3243
Li 0.0000 0.6757 0.1757
Li 0.0000 0.3243 0.8243
Li 0.0000 0.8243 0.6757
In 0.0000 0.5000 0.5000
In 0.0000 0.0000 0.0000

## Properties
The calculation puts the formation enthalpy at 0 K at -0.23 eV/atom. Its density is 6.4 g/cm3. The density of states at the Fermi level is 4.0 states/eV/f.u. Its space group is P4/mbm (127).

A plane-wave DFT calculation with PBE was carried out for Li2InB2Pd5 after structural relaxation.

abc: 3.0560 9.6624 9.6624
angles: 90.00 90.00 90.00
Atoms (fractional coordinates):
Pd 0.5000 0.0000 0.5000
Pd 0.5000 0.2252 0.0731
Pd 0.5000 0.0731 0.7748
Pd 0.5000 0.7748 0.9269
Pd 0.5000 0.5731 0.7252
Pd 0.5000 0.7252 0.4269
Pd 0.5000 0.5000 0.0000
Pd 0.5000 0.2748 0.5731
Pd 0.5000 0.4269 0.2748
Pd 0.5000 0.9269 0.2252
Li 0.0000 0.6750 0.1750
Li 0.0000 0.1750 0.3250
Li 0.0000 0.8250 0.6750
Li 0.0000 0.3250 0.8250
B 0.0000 0.8773 0.3773
B 0.0000 0.1227 0.6227
B 0.0000 0.6227 0.8773
B 0.0000 0.3773 0.1227
In 0.0000 0.0000 0.0000
In 0.0000 0.5000 0.5000

## Properties
The calculation puts the formation enthalpy at 0 K at -0.39 eV/atom. Its density is 7.9 g/cm3. The density of states at the Fermi level is 3.4 states/eV/f.u. Its space group is P4/mbm (127).

Q: Which formula does entry 1 have?
A: Li2InNi5B2

Q: Among the records above, which one has the highest density?
A: Li2InB2Pd5